VASP calculation (PBE) on a relaxed structure of Tb2Pm2Pr2Ho.

a b c (Å): 8.912 8.912 8.912
angles (deg): 37.70 37.70 37.70
Atoms (fractional coordinates):
Tb (0.072, 0.072, 0.072)
Tb (0.928, 0.928, 0.928)
Pm (0.214, 0.214, 0.214)
Pm (0.786, 0.786, 0.786)
Pr (0.361, 0.361, 0.361)
Pr (0.639, 0.639, 0.639)
Ho (0.500, 0.500, 0.500)

Output
**Energy of formation from the pure elements**: 12.7 kJ per mole of atoms
**Theoretical density**: 7.4 g/cm3
**Magnetization**: 0.001 μB per formula unit



VASP calculation (PBE) on a relaxed structure of Tb2Pm6PrHo3.

a b c (Å): 6.259 6.259 11.919
angles (deg): 95.01 95.01 119.99
Atoms (fractional coordinates):
Tb (0.167, 0.833, 0.000)
Tb (0.833, 0.167, 0.000)
Pm (0.081, 0.415, 0.747)
Pm (0.250, 0.250, 0.253)
Pm (0.415, 0.081, 0.747)
Pm (0.585, 0.919, 0.253)
Pm (0.750, 0.750, 0.747)
Pm (0.919, 0.585, 0.253)
Pr (0.500, 0.500, 0.000)
Ho (0.000, 0.000, 0.500)
Ho (0.333, 0.667, 0.500)
Ho (0.667, 0.333, 0.500)

Output
**Energy of formation from the pure elements**: 1.4 kJ per mole of atoms
**Theoretical density**: 7.6 g/cm3
**Magnetization**: 0.000 μB per formula unit



> Which of these has the lowest magnetization?

Tb2Pm6PrHo3



> What is the theoretical density in the first record?

7.4 g/cm3



> theoretical density of number 1 (Tb2Pm2Pr2Ho)?

7.4 g/cm3



> Which value of magnetization does entry 1 give?

0.001 μB per formula unit